1.
The following is a DFT calculation (GGA-PBE) of an optimized crystal structure of Sr6CuRh2I3.

a b c (Å): 7.6589 7.6589 8.6606
angles (deg): 98.47 98.47 119.93
Last column: nearest neighbours and their distance in Å.
Element x y z (fractional)
Sr: 0.0815 0.4333 0.8003  2 Rh 2.98, 1 Cu 3.16
Sr: 0.2145 0.2145 0.1980  2 Rh 2.98, 1 Cu 3.15
Sr: 0.4333 0.0815 0.8003  2 Rh 2.98, 1 Cu 3.16
Sr: 0.5667 0.9185 0.1997  2 Rh 2.98, 1 Cu 3.16
Sr: 0.7855 0.7855 0.8020  2 Rh 2.98, 1 Cu 3.15
Sr: 0.9185 0.5667 0.1997  2 Rh 2.98, 1 Cu 3.16
Cu: 0.5000 0.5000 0.0000  6 Sr 3.15-3.16
Rh: 0.1671 0.8329 0.0000  6 Sr 2.98
Rh: 0.8329 0.1671 0.0000  6 Sr 2.98
I: 0.0000 0.0000 0.5000  6 Sr 3.48-3.62
I: 0.3370 0.6630 0.5000  6 Sr 3.49-3.62
I: 0.6630 0.3370 0.5000  6 Sr 3.49-3.62

Calculated values
- space-group type = C2/m (12)
- raw formation energy (eV per atom) = -0.720

2.
The following is a DFT calculation (GGA-PBE) of an optimized crystal structure of AsIr2Os.

a b c (Å): 5.3486 5.3486 5.3486
angles (deg): 148.84 130.87 59.33
Last column: nearest neighbours and their distance in Å.
Element x y z (fractional)
As: 0.0000 0.0000 0.0000  2 Os 2.47, 6 Ir 2.51-2.65
Ir: 0.2209 0.7209 0.5000  2 As 2.51, 4 Os 2.71
Ir: 0.5093 0.5093 0.0000  4 As 2.65, 2 Ir 2.87, 2 Os 2.93
Os: 0.7834 0.2834 0.5000  2 As 2.47, 4 Ir 2.71

Calculated values
- space-group type = Imm2 (44)
- formation energy from the elements (eV/atom) = 0.349

3.
The following is a DFT calculation (GGA-PBE) of an optimized crystal structure of Nb2VCuPb.

a b c (Å): 4.7203 4.7203 4.4652
angles (deg): 90.00 90.00 90.00
Last column: nearest neighbours and their distance in Å.
Element x y z (fractional)
Nb: 0.0000 0.5000 0.0000  2 Cu 2.36
Nb: 0.5000 0.0000 0.0000  2 Cu 2.36
V: 0.0000 0.0000 0.5000  2 Cu 2.23
Cu: 0.0000 0.0000 0.0000  2 V 2.23, 4 Nb 2.36
Pb: 0.5000 0.5000 0.5000  8 Nb 3.25, 4 V 3.34

Calculated values
- space-group type = P4/mmm (123)
- formation energy from the elements (eV/atom) = 0.910

Number 1: raw total energy -42.18 eV for the cell shown. Number 2: raw total energy -32.20 eV for the cell shown. Number 3: raw total energy -32.51 eV for the cell shown.